This record from OQMD via LeMat-Bulk describes crystalline RbGeOs at its relaxed geometry. The functional is PBE-GGA.

Values from the calculation:
As for the calculated total energy: -12.53 eV/cell. The value obtained for the mass density is 8.3 Mg/m³.

```
data_RbGeOs
_symmetry_space_group_name_H-M 'P 1'
_symmetry_Int_Tables_number 1
_symmetry_space_group_name_Hall 'P 1'
_cell_length_a 4.617
_cell_length_b 4.617
_cell_length_c 4.617
_cell_angle_alpha 60.00
_cell_angle_beta 60.00
_cell_angle_gamma 60.00
loop_
_atom_site_label
_atom_site_fract_x
_atom_site_fract_y
_atom_site_fract_z
_atom_site_occupancy
Rb1 0.000 0.000 0.000 1
Ge1 0.500 0.500 0.500 1
Os1 0.750 0.750 0.750 1
```

***

This record from OQMD via LeMat-Bulk describes crystalline CdCuAgGeSe4 at its relaxed geometry. The functional is PBE-GGA.

Values from the calculation:
As for the calculated total energy: -28.65 eV/cell. The value obtained for the mass density is 5.5 Mg/m³.

```
data_CdCuAgGeSe4
_symmetry_space_group_name_H-M 'P 1'
_symmetry_Int_Tables_number 1
_symmetry_space_group_name_Hall 'P 1'
_cell_length_a 7.132
_cell_length_b 7.132
_cell_length_c 7.132
_cell_angle_alpha 130.55
_cell_angle_beta 130.55
_cell_angle_gamma 72.53
loop_
_atom_site_label
_atom_site_fract_x
_atom_site_fract_y
_atom_site_fract_z
_atom_site_occupancy
Cd1 0.000 0.000 0.000 1
Cu1 0.250 0.750 0.500 1
Ag1 0.750 0.250 0.500 1
Ge1 0.500 0.500 0.000 1
Se1 0.158 0.126 0.540 1
Se2 0.383 0.842 0.968 1
Se3 0.585 0.617 0.460 1
Se4 0.874 0.415 0.032 1
```

***

This record from OQMD via LeMat-Bulk describes crystalline LiBAsIr at its relaxed geometry. The functional is PBE-GGA.

Values from the calculation:
As for the calculated total energy: -20.08 eV/cell. The value obtained for the mass density is 9.7 Mg/m³.

```
data_LiBAsIr
_symmetry_space_group_name_H-M 'P 1'
_symmetry_Int_Tables_number 1
_symmetry_space_group_name_Hall 'P 1'
_cell_length_a 4.102
_cell_length_b 4.102
_cell_length_c 4.102
_cell_angle_alpha 60.00
_cell_angle_beta 60.00
_cell_angle_gamma 60.00
loop_
_atom_site_label
_atom_site_fract_x
_atom_site_fract_y
_atom_site_fract_z
_atom_site_occupancy
Li1 0.000 0.000 0.000 1
B1 0.500 0.500 0.500 1
As1 0.250 0.250 0.250 1
Ir1 0.750 0.750 0.750 1
```

***

This record from OQMD via LeMat-Bulk describes crystalline Y4Hf2Sn3N3 at its relaxed geometry. The functional is PBE-GGA.

Values from the calculation:
As for the calculated total energy: -192.97 eV/cell. The value obtained for the mass density is 8.0 Mg/m³.

```
data_Y4Hf2Sn3N3
_symmetry_space_group_name_H-M 'P 1'
_symmetry_Int_Tables_number 1
_symmetry_space_group_name_Hall 'P 1'
_cell_length_a 6.002
_cell_length_b 6.002
_cell_length_c 15.247
_cell_angle_alpha 101.57
_cell_angle_beta 101.57
_cell_angle_gamma 60.15
loop_
_atom_site_label
_atom_site_fract_x
_atom_site_fract_y
_atom_site_fract_z
_atom_site_occupancy
Y1 0.038 0.191 0.090 1
Y2 0.128 0.303 0.410 1
Y3 0.191 0.038 0.590 1
Y4 0.303 0.128 0.910 1
Y5 0.697 0.872 0.090 1
Y6 0.809 0.962 0.410 1
Y7 0.872 0.697 0.590 1
Y8 0.962 0.809 0.910 1
Hf1 0.353 0.526 0.077 1
Hf2 0.474 0.647 0.423 1
Hf3 0.526 0.353 0.577 1
Hf4 0.647 0.474 0.923 1
Sn1 0.120 0.880 0.250 1
Sn2 0.286 0.416 0.752 1
Sn3 0.416 0.286 0.252 1
Sn4 0.584 0.714 0.748 1
Sn5 0.714 0.584 0.248 1
Sn6 0.880 0.120 0.750 1
N1 0.000 0.500 0.000 1
N2 0.193 0.654 0.500 1
N3 0.346 0.807 0.000 1
N4 0.500 0.000 0.500 1
N5 0.654 0.193 0.000 1
N6 0.807 0.346 0.500 1
```

***

This record from OQMD via LeMat-Bulk describes crystalline Be2NbRe2 at its relaxed geometry. The functional is PBE-GGA.

Values from the calculation:
As for the calculated total energy: -87.10 eV/cell. The value obtained for the mass density is 12.9 Mg/m³.

```
data_Be2NbRe2
_symmetry_space_group_name_H-M 'P 1'
_symmetry_Int_Tables_number 1
_symmetry_space_group_name_Hall 'P 1'
_cell_length_a 6.288
_cell_length_b 6.288
_cell_length_c 3.148
_cell_angle_alpha 90.00
_cell_angle_beta 90.00
_cell_angle_gamma 90.00
loop_
_atom_site_label
_atom_site_fract_x
_atom_site_fract_y
_atom_site_fract_z
_atom_site_occupancy
Be1 0.117 0.383 0.000 1
Be2 0.383 0.883 0.000 1
Be3 0.617 0.117 0.000 1
Be4 0.883 0.617 0.000 1
Nb1 0.000 0.000 0.000 1
Nb2 0.500 0.500 0.000 1
Re1 0.173 0.673 0.500 1
Re2 0.327 0.173 0.500 1
Re3 0.673 0.827 0.500 1
Re4 0.827 0.327 0.500 1
```

***

This record from OQMD via LeMat-Bulk describes crystalline TbHgAs at its relaxed geometry. The functional is PBE-GGA.

Values from the calculation:
As for the calculated total energy: -10.84 eV/cell. The value obtained for the mass density is 9.0 Mg/m³.

```
data_TbHgAs
_symmetry_space_group_name_H-M 'P 1'
_symmetry_Int_Tables_number 1
_symmetry_space_group_name_Hall 'P 1'
_cell_length_a 4.833
_cell_length_b 4.833
_cell_length_c 4.833
_cell_angle_alpha 60.00
_cell_angle_beta 60.00
_cell_angle_gamma 60.00
loop_
_atom_site_label
_atom_site_fract_x
_atom_site_fract_y
_atom_site_fract_z
_atom_site_occupancy
Tb1 0.000 0.000 0.000 1
Hg1 0.500 0.500 0.500 1
As1 0.750 0.750 0.750 1
```

***

This record from OQMD via LeMat-Bulk describes crystalline CoBi at its relaxed geometry. The functional is PBE-GGA.

Values from the calculation:
As for the calculated total energy: -19.43 eV/cell. The value obtained for the mass density is 8.9 Mg/m³.

```
data_CoBi
_symmetry_space_group_name_H-M 'P 1'
_symmetry_Int_Tables_number 1
_symmetry_space_group_name_Hall 'P 1'
_cell_length_a 4.143
_cell_length_b 4.143
_cell_length_c 6.758
_cell_angle_alpha 90.00
_cell_angle_beta 90.00
_cell_angle_gamma 120.00
loop_
_atom_site_label
_atom_site_fract_x
_atom_site_fract_y
_atom_site_fract_z
_atom_site_occupancy
Co1 0.333 0.667 0.000 1
Co2 0.667 0.333 0.500 1
Bi1 0.333 0.667 0.624 1
Bi2 0.667 0.333 0.124 1
```

***

This record from OQMD via LeMat-Bulk describes crystalline GdTmAu2 at its relaxed geometry. The functional is PBE-GGA.

Values from the calculation:
Its formation energy from the elements is -0.882 eV/atom. The value obtained for the mass density is 12.7 Mg/m³.

```
data_GdTmAu2
_symmetry_space_group_name_H-M 'P 1'
_symmetry_Int_Tables_number 1
_symmetry_space_group_name_Hall 'P 1'
_cell_length_a 4.649
_cell_length_b 5.773
_cell_length_c 5.773
_cell_angle_alpha 37.48
_cell_angle_beta 90.00
_cell_angle_gamma 90.00
loop_
_atom_site_label
_atom_site_fract_x
_atom_site_fract_y
_atom_site_fract_z
_atom_site_occupancy
Gd1 0.000 0.000 0.000 1
Tm1 0.500 0.279 0.279 1
Au1 0.000 0.729 0.729 1
Au2 0.500 0.551 0.551 1
```

***

This record from OQMD via LeMat-Bulk describes crystalline NdYSbCl2 at its relaxed geometry. The functional is PBE-GGA.

Values from the calculation:
As for the calculated total energy: -27.39 eV/cell. The value obtained for the mass density is 4.3 Mg/m³.

```
data_NdYSbCl2
_symmetry_space_group_name_H-M 'P 1'
_symmetry_Int_Tables_number 1
_symmetry_space_group_name_Hall 'P 1'
_cell_length_a 4.240
_cell_length_b 4.240
_cell_length_c 10.660
_cell_angle_alpha 90.00
_cell_angle_beta 90.00
_cell_angle_gamma 120.00
loop_
_atom_site_label
_atom_site_fract_x
_atom_site_fract_y
_atom_site_fract_z
_atom_site_occupancy
Nd1 0.000 0.000 0.000 1
Y1 0.667 0.333 0.662 1
Sb1 0.333 0.667 0.824 1
Cl1 0.000 0.000 0.522 1
Cl2 0.667 0.333 0.150 1
```

***

This record from OQMD via LeMat-Bulk describes crystalline PrZnPd at its relaxed geometry. The functional is PBE-GGA.

Values from the calculation:
Its formation energy from the elements is -0.557 eV/atom. The value obtained for the mass density is 8.2 Mg/m³.

```
data_PrZnPd
_symmetry_space_group_name_H-M 'P 1'
_symmetry_Int_Tables_number 1
_symmetry_space_group_name_Hall 'P 1'
_cell_length_a 7.378
_cell_length_b 7.378
_cell_length_c 4.048
_cell_angle_alpha 90.00
_cell_angle_beta 90.00
_cell_angle_gamma 120.00
loop_
_atom_site_label
_atom_site_fract_x
_atom_site_fract_y
_atom_site_fract_z
_atom_site_occupancy
Pr1 0.000 0.590 0.000 1
Pr2 0.410 0.410 0.000 1
Pr3 0.590 0.000 0.000 1
Zn1 0.000 0.000 0.000 1
Zn2 0.333 0.667 0.500 1
Zn3 0.667 0.333 0.500 1
Pd1 0.000 0.245 0.500 1
Pd2 0.245 0.000 0.500 1
Pd3 0.755 0.755 0.500 1
```

***

This record from OQMD via LeMat-Bulk describes crystalline ZnCoBIr at its relaxed geometry. The functional is PBE-GGA.

Values from the calculation:
As for the calculated total energy: -21.22 eV/cell. The value obtained for the mass density is 11.5 Mg/m³.

```
data_ZnCoBIr
_symmetry_space_group_name_H-M 'P 1'
_symmetry_Int_Tables_number 1
_symmetry_space_group_name_Hall 'P 1'
_cell_length_a 4.057
_cell_length_b 4.057
_cell_length_c 4.057
_cell_angle_alpha 60.00
_cell_angle_beta 60.00
_cell_angle_gamma 60.00
loop_
_atom_site_label
_atom_site_fract_x
_atom_site_fract_y
_atom_site_fract_z
_atom_site_occupancy
Zn1 0.000 0.000 0.000 1
Co1 0.500 0.500 0.500 1
B1 0.250 0.250 0.250 1
Ir1 0.750 0.750 0.750 1
```

***

This record from OQMD via LeMat-Bulk describes crystalline RbSmAgSe3 at its relaxed geometry. The functional is PBE-GGA.

Values from the calculation:
As for the calculated total energy: -51.36 eV/cell. The value obtained for the mass density is 5.4 Mg/m³.

```
data_RbSmAgSe3
_symmetry_space_group_name_H-M 'P 1'
_symmetry_Int_Tables_number 1
_symmetry_space_group_name_Hall 'P 1'
_cell_length_a 8.024
_cell_length_b 8.024
_cell_length_c 10.983
_cell_angle_alpha 90.00
_cell_angle_beta 90.00
_cell_angle_gamma 149.60
loop_
_atom_site_label
_atom_site_fract_x
_atom_site_fract_y
_atom_site_fract_z
_atom_site_occupancy
Rb1 0.249 0.751 0.750 1
Rb2 0.751 0.249 0.250 1
Sm1 0.500 0.500 0.000 1
Sm2 0.500 0.500 0.500 1
Ag1 0.035 0.965 0.250 1
Ag2 0.965 0.035 0.750 1
Se1 0.128 0.872 0.051 1
Se2 0.128 0.872 0.449 1
Se3 0.429 0.571 0.250 1
Se4 0.571 0.429 0.750 1
Se5 0.872 0.128 0.551 1
Se6 0.872 0.128 0.949 1
```